No. 1
A plane-wave DFT calculation with PBE was carried out for a relaxed structure of SrTl2Cl8.

Structure (POSCAR):
```
SrTl2Cl8
1.0
6.915 -4.259 0.000
6.915 4.259 0.000
-1.630 0.000 6.826
Sr Tl Cl
1 2 8
Direct
0.000 0.000 0.000 Sr
0.212 0.212 0.691 Tl
0.788 0.788 0.309 Tl
0.103 0.673 0.205 Cl
0.177 0.177 0.321 Cl
0.327 0.897 0.795 Cl
0.390 0.390 0.789 Cl
0.610 0.610 0.211 Cl
0.673 0.103 0.205 Cl
0.823 0.823 0.679 Cl
0.897 0.327 0.795 Cl
```

## Properties
D(E_F) in states/eV/f.u.: 0.00
Theoretical density in g/cm³: 3.221
Final energy in eV for the cell shown: -33.54
Formation energy without anion corrections in kJ per mole of atoms: -108.35
Space-group type: No. 12

---

No. 2
A plane-wave DFT calculation with PBE was carried out for a relaxed structure of Nd5ErAl6.

Structure (POSCAR):
```
Nd5ErAl6
1.0
-2.622 3.690 7.859
2.622 -3.690 7.859
2.622 3.690 -7.859
Nd Er Al
5 1 6
Direct
0.000 0.000 0.000 Nd
0.163 0.663 0.500 Nd
0.327 0.327 0.000 Nd
0.673 0.673 0.000 Nd
0.837 0.337 0.500 Nd
0.500 0.000 0.500 Er
0.097 0.837 0.260 Al
0.269 0.500 0.769 Al
0.422 0.163 0.260 Al
0.578 0.837 0.740 Al
0.731 0.500 0.231 Al
0.903 0.163 0.740 Al
```

## Properties
D(E_F) in states/eV/f.u.: 4.06
Energy of formation in meV/atom: -358
Theoretical density in g/cm³: 5.735
Final energy in eV for the cell shown: -55.15
Space-group type: No. 71

---

No. 3
A plane-wave DFT calculation with PBE was carried out for a relaxed structure of Pa3TiN2O6.

Structure (POSCAR):
```
Pa3TiN2O6
1.0
5.537 -3.458 0.000
5.537 3.458 0.000
-0.098 0.000 4.619
Pa Ti N O
3 1 2 6
Direct
0.000 0.000 0.000 Pa
0.000 0.500 0.500 Pa
0.500 0.000 0.500 Pa
0.500 0.500 0.500 Ti
0.163 0.163 0.262 N
0.837 0.837 0.738 N
0.187 0.657 0.261 O
0.340 0.340 0.700 O
0.343 0.813 0.739 O
0.657 0.187 0.261 O
0.660 0.660 0.300 O
0.813 0.343 0.739 O
```

## Properties
D(E_F) in states/eV/f.u.: 4.17
Theoretical density in g/cm³: 8.121
Final energy in eV for the cell shown: -115.91
Formation energy without anion corrections in kJ per mole of atoms: -266.38
Space-group type: No. 12

---

No. 4
A plane-wave DFT calculation with PBE was carried out for a relaxed structure of KBaLa2.

Structure (POSCAR):
```
KBaLa2
1.0
5.367 0.000 0.000
0.000 5.367 0.000
0.000 0.000 13.042
K Ba La
2 2 4
Direct
0.000 0.000 0.000 K
0.500 0.500 0.500 K
0.000 0.000 0.500 Ba
0.500 0.500 0.000 Ba
0.000 0.500 0.250 La
0.000 0.500 0.750 La
0.500 0.000 0.250 La
0.500 0.000 0.750 La
```

## Properties
D(E_F) in states/eV/f.u.: 8.99
Energy of formation in meV/atom: 416
Theoretical density in g/cm³: 4.015
Final energy in eV for the cell shown: -22.42
Space-group type: No. 139
Energy relative to the lowest polymorph listed for this composition in eV per formula unit: 1.05

---

> Look up the D(E_F) of the third one.

4.17 states/eV/f.u.

---

> Which formula does entry 4 have?

KBaLa2

---

> Which of these has the highest D(E_F)?

KBaLa2

---

Copy entry 3 word for word.
A plane-wave DFT calculation with PBE was carried out for a relaxed structure of Pa3TiN2O6.

Structure (POSCAR):
```
Pa3TiN2O6
1.0
5.537 -3.458 0.000
5.537 3.458 0.000
-0.098 0.000 4.619
Pa Ti N O
3 1 2 6
Direct
0.000 0.000 0.000 Pa
0.000 0.500 0.500 Pa
0.500 0.000 0.500 Pa
0.500 0.500 0.500 Ti
0.163 0.163 0.262 N
0.837 0.837 0.738 N
0.187 0.657 0.261 O
0.340 0.340 0.700 O
0.343 0.813 0.739 O
0.657 0.187 0.261 O
0.660 0.660 0.300 O
0.813 0.343 0.739 O
```

## Properties
D(E_F) in states/eV/f.u.: 4.17
Theoretical density in g/cm³: 8.121
Final energy in eV for the cell shown: -115.91
Formation energy without anion corrections in kJ per mole of atoms: -266.38
Space-group type: No. 12